LaNd2Ta2N6 | GGA-PBE | optimized geometry

As for the electronic total energy: -206.42 eV per cell.

It has space group I4/mmm (No. 139), with a = 4.059 Å, b = 4.059 Å, c = 19.842 Å, α = 90.00°, β = 90.00° and γ = 90.00°. The distinct sites, in fractional coordinates, are La at (0.000, 0.000, 0.000), Nd at (0.000, 0.000, 0.179), Ta at (0.000, 0.000, 0.397), N at (0.000, 0.000, 0.299) and N at (0.000, 0.500, 0.086).